Computed, not measured: a relaxed SrCuTe2 crystal at the PBE level of DFT.

Unit cell a=4.591 b=4.591 c=10.435 alpha=90.00 beta=90.00 gamma=90.00
Fractional coordinates of all 8 atoms:
Sr 0.250 0.250 0.238
Sr 0.750 0.750 0.762
Cu 0.250 0.750 0.500
Cu 0.750 0.250 0.500
Te 0.250 0.250 0.641
Te 0.250 0.750 0.000
Te 0.750 0.250 0.000
Te 0.750 0.750 0.359

Computed properties:
As for the raw formation energy: -3.2 eV/f.u.

---

Computed, not measured: a relaxed NbSiCl3 crystal at the PBE level of DFT.

Unit cell a=4.977 b=4.977 c=4.977 alpha=90.00 beta=90.00 gamma=90.00
Fractional coordinates of all 5 atoms:
Nb 0.000 0.000 0.000
Si 0.500 0.500 0.500
Cl 0.000 0.500 0.500
Cl 0.500 0.000 0.500
Cl 0.500 0.500 0.000

Computed properties:
The offset from the most stable computed form comes out at 176 kJ/mol of formula units. As for the raw formation energy: 2.0 eV/f.u.

---

Computed, not measured: a relaxed Sc3Ga8Cu3 crystal at the PBE level of DFT.

Unit cell a=7.864 b=7.864 c=7.864 alpha=149.60 beta=107.02 gamma=81.07
Fractional coordinates of all 14 atoms:
Sc 0.000 0.000 0.000
Sc 0.296 0.296 0.000
Sc 0.704 0.704 0.000
Ga 0.014 0.648 0.366
Ga 0.161 0.866 0.295
Ga 0.282 0.648 0.634
Ga 0.429 0.134 0.295
Ga 0.571 0.866 0.705
Ga 0.718 0.352 0.366
Ga 0.839 0.134 0.705
Ga 0.986 0.352 0.634
Cu 0.328 0.500 0.828
Cu 0.500 0.000 0.500
Cu 0.672 0.500 0.172

Computed properties:
The value obtained for the formation energy is -0.413 eV per atom.

---

Computed, not measured: a relaxed ScTc2Ru crystal at the PBE level of DFT.

Unit cell a=4.436 b=4.436 c=4.436 alpha=60.00 beta=60.00 gamma=60.00
Fractional coordinates of all 4 atoms:
Sc 0.000 0.000 0.000
Tc 0.250 0.250 0.250
Tc 0.750 0.750 0.750
Ru 0.500 0.500 0.500

Computed properties:
The offset from the most stable computed form comes out at 75 kJ/mol of formula units. The value obtained for the formation energy is 0.075 eV per atom.

---

Computed, not measured: a relaxed Tb2Sm6Er3In crystal at the PBE level of DFT.

Unit cell a=6.149 b=6.149 c=11.728 alpha=95.03 beta=95.03 gamma=120.08
Fractional coordinates of all 12 atoms:
Tb 0.166 0.834 0.000
Tb 0.834 0.166 0.000
Sm 0.089 0.417 0.751
Sm 0.256 0.256 0.250
Sm 0.417 0.089 0.751
Sm 0.583 0.911 0.249
Sm 0.744 0.744 0.750
Sm 0.911 0.583 0.249
Er 0.000 0.000 0.500
Er 0.333 0.667 0.500
Er 0.667 0.333 0.500
In 0.500 0.500 0.000

Computed properties:
The value obtained for the formation energy is -0.042 eV per atom.

---

Computed, not measured: a relaxed MgPaAg2 crystal at the PBE level of DFT.

Unit cell a=3.138 b=3.138 c=8.274 alpha=90.00 beta=90.00 gamma=90.00
Fractional coordinates of all 4 atoms:
Mg 0.000 0.000 0.000
Pa 0.000 0.000 0.500
Ag 0.500 0.500 0.221
Ag 0.500 0.500 0.779

Computed properties:
The offset from the most stable computed form comes out at 0 kJ/mol of formula units. The value obtained for the formation energy is 0.000 eV per atom.

---

Computed, not measured: a relaxed KPS2Br crystal at the PBE level of DFT.

Unit cell a=5.152 b=5.152 c=5.038 alpha=90.00 beta=90.00 gamma=90.00
Fractional coordinates of all 5 atoms:
K 0.000 0.000 0.000
P 0.500 0.500 0.000
S 0.000 0.500 0.500
S 0.500 0.000 0.500
Br 0.500 0.500 0.500

Computed properties:
The offset from the most stable computed form comes out at 0 kJ/mol of formula units. As for the raw formation energy: 3.1 eV/f.u.

---

Computed, not measured: a relaxed NaHg2Pb9 crystal at the PBE level of DFT.

Unit cell a=4.898 b=4.898 c=14.887 alpha=90.00 beta=90.00 gamma=90.00
Fractional coordinates of all 12 atoms:
Na 0.000 0.000 0.000
Hg 0.000 0.000 0.338
Hg 0.000 0.000 0.662
Pb 0.000 0.500 0.167
Pb 0.000 0.500 0.500
Pb 0.000 0.500 0.833
Pb 0.500 0.000 0.167
Pb 0.500 0.000 0.500
Pb 0.500 0.000 0.833
Pb 0.500 0.500 0.000
Pb 0.500 0.500 0.332
Pb 0.500 0.500 0.668

Computed properties:
The value obtained for the formation energy is -0.022 eV per atom.